[1]
Computed, not measured: GaCoSn2Te after structural relaxation at the GGA-PBE level of DFT.

Cell and atoms, written as CIF:
```
data_GaCoSn2Te
_chemical_formula_sum 'Ga1 Co1 Sn2 Te1'
_symmetry_space_group_name_H-M 'P 4/m m m'
_symmetry_Int_Tables_number 123
_symmetry_space_group_name_Hall '-P 4 2'
_cell_length_a 5.012
_cell_length_b 5.012
_cell_length_c 4.672
_cell_angle_alpha 90.00
_cell_angle_beta 90.00
_cell_angle_gamma 90.00
loop_
_atom_site_label
_atom_site_fract_x
_atom_site_fract_y
_atom_site_fract_z
Ga1 0.000 0.000 0.000
Co1 0.000 0.000 0.500
Sn1 0.000 0.500 0.500
Te1 0.500 0.500 0.000
```

## Properties
formation energy without anion corrections: -0.143 eV per atom
E: -4.40 eV/atom
calculated volume: 117.4 Å³/cell
total moment: 0.00 μB per formula unit

[2]
Computed, not measured: Ce2Be3Si4Pt after structural relaxation at the GGA-PBE level of DFT.

Cell and atoms, written as CIF:
```
data_Ce2Be3Si4Pt
_chemical_formula_sum 'Ce2 Be3 Si4 Pt1'
_symmetry_space_group_name_H-M 'P -4 m 2'
_symmetry_Int_Tables_number 115
_symmetry_space_group_name_Hall 'P -4 -2'
_cell_length_a 4.018
_cell_length_b 4.018
_cell_length_c 9.660
_cell_angle_alpha 90.00
_cell_angle_beta 90.00
_cell_angle_gamma 90.00
loop_
_atom_site_label
_atom_site_fract_x
_atom_site_fract_y
_atom_site_fract_z
Ce1 0.000 0.500 0.241
Be1 0.000 0.500 0.876
Be2 0.500 0.500 0.500
Si1 0.000 0.000 0.000
Si2 0.000 0.500 0.642
Si3 0.500 0.500 0.000
Pt1 0.000 0.000 0.500
```

## Properties
formation energy without anion corrections: -0.581 eV per atom
E: -5.66 eV/atom
calculated volume: 156.0 Å³/cell
total moment: 0.35 μB per formula unit

[3]
Computed, not measured: YReW after structural relaxation at the GGA-PBE level of DFT.

Cell and atoms, written as CIF:
```
data_YReW
_chemical_formula_sum 'Y4 Re4 W4'
_symmetry_space_group_name_H-M 'F -4 3 m'
_symmetry_Int_Tables_number 216
_symmetry_space_group_name_Hall 'F -4 2 3'
_cell_length_a 6.415
_cell_length_b 6.415
_cell_length_c 6.415
_cell_angle_alpha 90.00
_cell_angle_beta 90.00
_cell_angle_gamma 90.00
loop_
_atom_site_label
_atom_site_fract_x
_atom_site_fract_y
_atom_site_fract_z
Y1 0.000 0.000 0.000
Re1 0.250 0.250 0.750
W1 0.250 0.250 0.250
```

## Properties
E above lowest polymorph: 2.197 eV/atom
E: -8.50 eV/atom
formation enthalpy at 0 K: 613 kJ/mol of formula units
calculated volume: 264.0 Å³/cell
total moment: 0.49 μB per formula unit